1.
Pr4Ho7In, optimized geometry, DFT PBE; ΔH_f (0 K) = 170 kJ/mol of formula units; energy = -4.35 eV/atom; DOS(E_F) = 1.616 states/eV per atom; space-group type = C2/m, No. 12
1.0
5.770 -2.785 0.000
5.770 2.785 0.000
-2.980 0.000 12.653
Pr Ho In
4 7 1
direct
0.058 0.058 0.277
0.343 0.343 0.229
0.657 0.657 0.771
0.942 0.942 0.723
0.139 0.139 0.968
0.260 0.260 0.609
0.403 0.403 0.877
0.500 0.500 0.500
0.597 0.597 0.123
0.740 0.740 0.391
0.861 0.861 0.032
0.000 0.000 0.500

2.
PuHgRhPb, optimized geometry, DFT PBE; ΔH_f (0 K) = -21 kJ/mol of formula units; energy = -6.48 eV/atom; DOS(E_F) = 2.992 states/eV per atom; space-group type = F-43m, No. 216
1.0
0.000 3.574 3.574
3.574 0.000 3.574
3.574 3.574 0.000
Pu Hg Rh Pb
1 1 1 1
direct
0.000 0.000 0.000
0.250 0.250 0.250
0.750 0.750 0.750
0.500 0.500 0.500

3.
Ga2HgBi, optimized geometry, DFT PBE; ΔH_f (0 K) = 24 kJ/mol of formula units; energy = -2.50 eV/atom; DOS(E_F) = 0.088 states/eV per atom; space-group type = P4/mmm, No. 123
1.0
3.440 0.000 0.000
0.000 3.440 0.000
0.000 0.000 8.302
Ga Hg Bi
2 1 1
direct
0.000 0.000 0.232
0.000 0.000 0.768
0.500 0.500 0.000
0.500 0.500 0.500

4.
La2NdSc, optimized geometry, DFT PBE; ΔH_f (0 K) = 15 kJ/mol of formula units; energy = -5.20 eV/atom; DOS(E_F) = 1.235 states/eV per atom; space-group type = P4/mmm, No. 123
1.0
5.101 0.000 0.000
0.000 5.101 0.000
0.000 0.000 5.056
La Nd Sc
2 1 1
direct
0.000 0.500 0.000
0.500 0.000 0.000
0.000 0.000 0.500
0.500 0.500 0.500

5.
Na2HfCdSe4, optimized geometry, DFT PBE; energy = -4.51 eV/atom; space-group type = P2/m, No. 10
1.0
7.092 0.000 0.000
0.000 3.965 0.000
-2.427 0.000 6.933
Na Hf Cd Se
2 1 1 4
direct
0.000 0.000 0.000
0.500 0.500 0.000
0.000 0.500 0.500
0.500 0.000 0.500
0.220 0.000 0.725
0.246 0.500 0.286
0.754 0.500 0.714
0.780 0.000 0.275

6.
OsAuBr, optimized geometry, DFT PBE; energy = -4.44 eV/atom; DOS(E_F) = 1.118 states/eV per atom; space-group type = Fmm2, No. 42
1.0
0.000 2.700 7.372
1.441 0.000 7.372
1.441 2.700 0.000
Os Au Br
1 1 1
direct
0.000 0.000 0.000
0.659 0.659 0.341
0.362 0.362 0.638

7.
HfVRu2, optimized geometry, DFT PBE; ΔH_f (0 K) = -172 kJ/mol of formula units; energy = -9.85 eV/atom; DOS(E_F) = 1.035 states/eV per atom; space-group type = P4/mmm, No. 123
1.0
3.133 0.000 0.000
0.000 3.133 0.000
0.000 0.000 6.269
Hf V Ru
1 1 2
direct
0.000 0.000 0.000
0.000 0.000 0.500
0.500 0.500 0.267
0.500 0.500 0.733

8.
Li6Cd3In2, optimized geometry, DFT PBE; ΔH_f (0 K) = -179 kJ/mol of formula units; energy = -1.96 eV/atom; DOS(E_F) = 0.293 states/eV per atom; space-group type = Cmmm, No. 65
1.0
4.634 -8.025 0.000
4.634 8.025 0.000
0.000 0.000 2.981
Li Cd In
6 3 2
direct
0.091 0.909 0.000
0.120 0.440 0.000
0.440 0.120 0.000
0.560 0.880 0.000
0.880 0.560 0.000
0.909 0.091 0.000
0.244 0.756 0.500
0.500 0.500 0.000
0.756 0.244 0.500
0.214 0.214 0.500
0.786 0.786 0.500